Material: CsPbAu2
Method: DFT, GGA-PBE
State: optimized geometry

Cell: 4.5093 9.0102 13.1487 Å, 90.00 90.00 90.00°
Fractional coordinates of all 16 atoms:
1 Cs 0.7500 0.3889 0.3685
2 Cs 0.2500 0.6111 0.6315
3 Cs 0.7500 0.8889 0.1315
4 Cs 0.2500 0.1111 0.8685
5 Pb 0.7500 0.3773 0.0620
6 Pb 0.2500 0.6227 0.9380
7 Pb 0.7500 0.8773 0.4380
8 Pb 0.2500 0.1227 0.5620
9 Au 0.2500 0.0482 0.3444
10 Au 0.7500 0.9518 0.6556
11 Au 0.2500 0.5482 0.1556
12 Au 0.7500 0.4518 0.8444
13 Au 0.2500 0.2218 0.1737
14 Au 0.7500 0.7782 0.8263
15 Au 0.2500 0.7218 0.3263
16 Au 0.7500 0.2782 0.6737

Material: Cs3Pb2Au2
Method: DFT, GGA-PBE
State: optimized geometry

Cell: 4.2603 7.8874 9.9988 Å, 116.74 90.00 105.67°
Fractional coordinates of all 7 atoms:
1 Cs 0.2776 0.5552 0.3314
2 Cs 0.7224 0.4448 0.6686
3 Cs 0.5000 0.0000 0.0000
4 Pb 0.9913 0.9827 0.6511
5 Pb 0.0087 0.0173 0.3489
6 Au 0.8172 0.6345 0.0847
7 Au 0.1828 0.3655 0.9153

Material: CsPb3Au3
Method: DFT, GGA-PBE
State: optimized geometry

Cell: 8.0786 8.0786 8.0786 Å, 72.25 72.25 72.25°
Fractional coordinates of all 14 atoms:
1 Cs 0.3221 0.3221 0.3221
2 Cs 0.6779 0.6779 0.6779
3 Pb 0.8016 0.4534 0.1619
4 Pb 0.1619 0.8016 0.4534
5 Pb 0.4534 0.1619 0.8016
6 Pb 0.5466 0.8381 0.1984
7 Pb 0.8381 0.1984 0.5466
8 Pb 0.1984 0.5466 0.8381
9 Au 0.7328 0.1054 0.9796
10 Au 0.1054 0.9796 0.7328
11 Au 0.9796 0.7328 0.1054
12 Au 0.0204 0.2672 0.8946
13 Au 0.8946 0.0204 0.2672
14 Au 0.2672 0.8946 0.0204

energy above the most stable polymorph in this dataset: 0 meV per atom

Magnetic moment: 0.00, 0.00, 0.00 (Bohr magnetons per cell)
DFT formation energy: -0.18, -0.15, -0.08 (eV per atom)